# PmFe4P12

A relaxed PmFe4P12 crystal (PBE, Alexandria via LeMat-Bulk). Values from VASP.

Computed properties:
The symmetry is Im-3, No. 204. The value obtained for the formation enthalpy at 0 K is -595 meV per atom. The value obtained for the spin magnetization is 0.000 μB per atom.

Quantum ESPRESSO input file:
```
&SYSTEM
  ibrav = 0, nat = 17, ntyp = 3
/
ATOMIC_SPECIES
Pm 145.00 Pm.upf
Fe 55.84 Fe.upf
P 30.97 P.upf
CELL_PARAMETERS angstrom
-3.8999 3.8999 3.8999
3.8999 -3.8999 3.8999
3.8999 3.8999 -3.8999
ATOMIC_POSITIONS crystal
Pm 0.0000 0.0000 0.0000
Fe 0.0000 0.0000 0.5000
Fe 0.0000 0.5000 0.0000
Fe 0.5000 0.0000 0.0000
Fe 0.5000 0.5000 0.5000
P 0.1515 0.5044 0.3529
P 0.1515 0.7985 0.6471
P 0.2015 0.3529 0.8485
P 0.3529 0.1515 0.5044
P 0.3529 0.8485 0.2015
P 0.4956 0.6471 0.8485
P 0.5044 0.3529 0.1515
P 0.6471 0.1515 0.7985
P 0.6471 0.8485 0.4956
P 0.7985 0.6471 0.1515
P 0.8485 0.2015 0.3529
P 0.8485 0.4956 0.6471
```

***

# KNpTc2O8

A relaxed KNpTc2O8 crystal (PBE, Alexandria via LeMat-Bulk). Values from VASP.

Computed properties:
The symmetry is P-3, No. 147. The value obtained for the spin magnetization is 0.504 μB per atom. For the formation energy (no corrections), the calculation gives -1.831 eV/atom.

Quantum ESPRESSO input file:
```
&SYSTEM
  ibrav = 0, nat = 12, ntyp = 4
/
ATOMIC_SPECIES
K 39.10 K.upf
Np 237.00 Np.upf
Tc 98.00 Tc.upf
O 16.00 O.upf
CELL_PARAMETERS angstrom
5.9767 0.0000 0.0000
-2.9883 5.1760 0.0000
0.0000 0.0000 7.5960
ATOMIC_POSITIONS crystal
K 0.0000 0.0000 0.0000
Np 0.0000 0.0000 0.5000
Tc 0.3333 0.6667 0.7641
Tc 0.6667 0.3333 0.2359
O 0.1644 0.3340 0.6784
O 0.1696 0.8356 0.6784
O 0.3333 0.6667 0.9935
O 0.3340 0.1696 0.3216
O 0.6660 0.8304 0.6784
O 0.6667 0.3333 0.0065
O 0.8304 0.1644 0.3216
O 0.8356 0.6660 0.3216
```

***

# CsCoAs2

A relaxed CsCoAs2 crystal (PBE, Alexandria via LeMat-Bulk). Values from VASP.

Computed properties:
The symmetry is P4/mmm, No. 123. As for the excess energy over the best structure of this formula in the dataset: 308 meV/atom. The value obtained for the formation enthalpy at 0 K is 104 meV per atom. The value obtained for the spin magnetization is 0.131 μB per atom.

Quantum ESPRESSO input file:
```
&SYSTEM
  ibrav = 0, nat = 4, ntyp = 3
/
ATOMIC_SPECIES
Cs 132.91 Cs.upf
Co 58.93 Co.upf
As 74.92 As.upf
CELL_PARAMETERS angstrom
3.3412 0.0000 0.0000
0.0000 3.3412 0.0000
0.0000 0.0000 7.9796
ATOMIC_POSITIONS crystal
Cs 0.0000 0.0000 0.0000
Co 0.0000 0.0000 0.5000
As 0.5000 0.5000 0.3478
As 0.5000 0.5000 0.6522
```

***

# Ac4Pm3Te8

A relaxed Ac4Pm3Te8 crystal (PBE, Alexandria via LeMat-Bulk). Values from VASP.

Computed properties:
The symmetry is C2/m, No. 12. The value obtained for the spin magnetization is 0.000 μB per atom. For the formation energy (no corrections), the calculation gives -1.469 eV/atom.

Quantum ESPRESSO input file:
```
&SYSTEM
  ibrav = 0, nat = 15, ntyp = 3
/
ATOMIC_SPECIES
Ac 227.00 Ac.upf
Pm 145.00 Pm.upf
Te 127.60 Te.upf
CELL_PARAMETERS angstrom
6.5099 -6.5121 0.0000
6.5099 6.5121 0.0000
-6.4307 0.0000 6.5105
ATOMIC_POSITIONS crystal
Ac 0.0000 0.0000 0.0000
Ac 0.0000 0.5000 0.0000
Ac 0.5000 0.0000 0.0000
Ac 0.5000 0.5000 0.5000
Pm 0.0000 0.0000 0.5000
Pm 0.0000 0.5000 0.5000
Pm 0.5000 0.0000 0.5000
Te 0.2444 0.7556 0.5000
Te 0.2534 0.2534 0.5176
Te 0.2531 0.2531 0.9882
Te 0.2590 0.7410 0.0000
Te 0.7410 0.2590 0.0000
Te 0.7469 0.7469 0.0118
Te 0.7466 0.7466 0.4824
Te 0.7556 0.2444 0.5000
```

***

# Tb16Dy7Th6

A relaxed Tb16Dy7Th6 crystal (PBE, Alexandria via LeMat-Bulk). Values from VASP.

Computed properties:
The symmetry is Fm-3m, No. 225. The value obtained for the formation enthalpy at 0 K is 308 meV per atom. The value obtained for the spin magnetization is 0.000 μB per atom.

Quantum ESPRESSO input file:
```
&SYSTEM
  ibrav = 0, nat = 29, ntyp = 3
/
ATOMIC_SPECIES
Tb 158.93 Tb.upf
Dy 162.50 Dy.upf
Th 232.04 Th.upf
CELL_PARAMETERS angstrom
0.0000 7.8260 7.8260
7.8260 0.0000 7.8260
7.8260 7.8260 0.0000
ATOMIC_POSITIONS crystal
Tb 0.0256 0.6581 0.6581
Tb 0.1196 0.1196 0.1196
Tb 0.1196 0.1196 0.6411
Tb 0.1196 0.6411 0.1196
Tb 0.3419 0.3419 0.3419
Tb 0.3419 0.3419 0.9744
Tb 0.3419 0.9744 0.3419
Tb 0.3589 0.8804 0.8804
Tb 0.6411 0.1196 0.1196
Tb 0.6581 0.0256 0.6581
Tb 0.6581 0.6581 0.0256
Tb 0.6581 0.6581 0.6581
Tb 0.8804 0.3589 0.8804
Tb 0.8804 0.8804 0.3589
Tb 0.8804 0.8804 0.8804
Tb 0.9744 0.3419 0.3419
Dy 0.0000 0.0000 0.0000
Dy 0.0000 0.0000 0.5000
Dy 0.0000 0.5000 0.0000
Dy 0.0000 0.5000 0.5000
Dy 0.5000 0.0000 0.0000
Dy 0.5000 0.0000 0.5000
Dy 0.5000 0.5000 0.0000
Th 0.3305 0.3305 0.6695
Th 0.3305 0.6695 0.3305
Th 0.3305 0.6695 0.6695
Th 0.6695 0.3305 0.3305
Th 0.6695 0.3305 0.6695
Th 0.6695 0.6695 0.3305
```

***

# CdSiNi

A relaxed CdSiNi crystal (PBE, Alexandria via LeMat-Bulk). Values from VASP.

Computed properties:
The symmetry is P3m1, No. 156. The value obtained for the spin magnetization is 0.000 μB per atom. For the formation energy (no corrections), the calculation gives 0.024 eV/atom.

Quantum ESPRESSO input file:
```
&SYSTEM
  ibrav = 0, nat = 3, ntyp = 3
/
ATOMIC_SPECIES
Cd 112.41 Cd.upf
Si 28.09 Si.upf
Ni 58.69 Ni.upf
CELL_PARAMETERS angstrom
2.9442 0.0000 0.0000
-1.4721 2.5497 0.0000
0.0000 0.0000 6.2566
ATOMIC_POSITIONS crystal
Cd 0.0000 0.0000 0.0000
Si 0.3333 0.6667 0.6002
Ni 0.6667 0.3333 0.3538
```

***

# Ac2SiPd6

A relaxed Ac2SiPd6 crystal (PBE, Alexandria via LeMat-Bulk). Values from VASP.

Computed properties:
The symmetry is Fm-3m, No. 225. As for the excess energy over the best structure of this formula in the dataset: 0 meV/atom. The value obtained for the spin magnetization is 0.000 μB per atom. For the formation energy (no corrections), the calculation gives -0.842 eV/atom.

Quantum ESPRESSO input file:
```
&SYSTEM
  ibrav = 0, nat = 9, ntyp = 3
/
ATOMIC_SPECIES
Ac 227.00 Ac.upf
Si 28.09 Si.upf
Pd 106.42 Pd.upf
CELL_PARAMETERS angstrom
0.0000 4.4892 4.4892
4.4892 0.0000 4.4892
4.4892 4.4892 0.0000
ATOMIC_POSITIONS crystal
Ac 0.2500 0.2500 0.2500
Ac 0.7500 0.7500 0.7500
Si 0.0000 0.0000 0.0000
Pd 0.2713 0.2713 0.7287
Pd 0.2713 0.7287 0.2713
Pd 0.2713 0.7287 0.7287
Pd 0.7287 0.2713 0.2713
Pd 0.7287 0.2713 0.7287
Pd 0.7287 0.7287 0.2713
```

***

# Be2NbNi

A relaxed Be2NbNi crystal (PBE, Alexandria via LeMat-Bulk). Values from VASP.

Computed properties:
The symmetry is Fm-3m, No. 225. As for the excess energy over the best structure of this formula in the dataset: 210 meV/atom. The value obtained for the formation enthalpy at 0 K is -71 meV per atom. The value obtained for the spin magnetization is 0.000 μB per atom.

Quantum ESPRESSO input file:
```
&SYSTEM
  ibrav = 0, nat = 16, ntyp = 3
/
ATOMIC_SPECIES
Be 9.01 Be.upf
Nb 92.91 Nb.upf
Ni 58.69 Ni.upf
CELL_PARAMETERS angstrom
5.6450 0.0000 0.0000
0.0000 5.6450 0.0000
0.0000 0.0000 5.6450
ATOMIC_POSITIONS crystal
Be 0.2500 0.2500 0.2500
Be 0.2500 0.2500 0.7500
Be 0.2500 0.7500 0.2500
Be 0.2500 0.7500 0.7500
Be 0.7500 0.2500 0.2500
Be 0.7500 0.2500 0.7500
Be 0.7500 0.7500 0.2500
Be 0.7500 0.7500 0.7500
Nb 0.0000 0.0000 0.0000
Nb 0.0000 0.5000 0.5000
Nb 0.5000 0.0000 0.5000
Nb 0.5000 0.5000 0.0000
Ni 0.0000 0.0000 0.5000
Ni 0.0000 0.5000 0.0000
Ni 0.5000 0.0000 0.0000
Ni 0.5000 0.5000 0.5000
```

***

# Li2LaY

A relaxed Li2LaY crystal (PBE, Alexandria via LeMat-Bulk). Values from VASP.

Computed properties:
The symmetry is P2/m, No. 10. As for the excess energy over the best structure of this formula in the dataset: 115 meV/atom. The value obtained for the formation enthalpy at 0 K is 179 meV per atom. The value obtained for the spin magnetization is 0.000 μB per atom.

Quantum ESPRESSO input file:
```
&SYSTEM
  ibrav = 0, nat = 4, ntyp = 3
/
ATOMIC_SPECIES
Li 6.94 Li.upf
La 138.91 La.upf
Y 88.91 Y.upf
CELL_PARAMETERS angstrom
3.3680 0.0000 0.0000
0.0000 5.3973 0.0000
-1.0047 0.0000 6.3071
ATOMIC_POSITIONS crystal
Li 0.2421 0.0000 0.2299
Li 0.7579 0.0000 0.7701
La 0.0000 0.5000 0.5000
Y 0.5000 0.5000 0.0000
```

***

# SrZr3I

A relaxed SrZr3I crystal (PBE, Alexandria via LeMat-Bulk). Values from VASP.

Computed properties:
The symmetry is Pm-3m, No. 221. As for the excess energy over the best structure of this formula in the dataset: 1178 meV/atom. The value obtained for the spin magnetization is 0.001 μB per atom. For the formation energy (no corrections), the calculation gives 1.828 eV/atom.

Quantum ESPRESSO input file:
```
&SYSTEM
  ibrav = 0, nat = 5, ntyp = 3
/
ATOMIC_SPECIES
Sr 87.62 Sr.upf
Zr 91.22 Zr.upf
I 126.90 I.upf
CELL_PARAMETERS angstrom
5.3291 0.0000 0.0000
0.0000 5.3291 0.0000
0.0000 0.0000 5.3291
ATOMIC_POSITIONS crystal
Sr 0.0000 0.0000 0.0000
Zr 0.0000 0.0000 0.5000
Zr 0.0000 0.5000 0.0000
Zr 0.5000 0.0000 0.0000
I 0.5000 0.5000 0.5000
```

***

Q: Among the records above, which one has the highest spin magnetization?
A: KNpTc2O8